Material: Ba4Ge2F
Method: DFT, PBE-GGA
State: relaxed

Properties
D(E_F), states/eV per cell: 8.65
Energy above the most stable polymorph in this dataset, meV per atom: 0
Uncorrected formation energy, eV/atom: -1.119

abc: 5.326 5.326 17.798
angles: 90.00 90.00 90.00
Sites, in units of the cell vectors:
Ba1 0.000 0.000 0.187
Ba2 0.000 0.000 0.813
Ba3 0.000 0.500 0.000
Ba4 0.000 0.500 0.500
Ba5 0.500 0.000 0.000
Ba6 0.500 0.000 0.500
Ba7 0.500 0.500 0.313
Ba8 0.500 0.500 0.687
Ge1 0.000 0.000 0.372
Ge2 0.000 0.000 0.628
Ge3 0.500 0.500 0.128
Ge4 0.500 0.500 0.872
F1 0.000 0.000 0.000
F2 0.500 0.500 0.500

Material: BaGe2F8
Method: DFT, PBE-GGA
State: relaxed

Properties
D(E_F), states/eV per cell: 0.36
Energy above the most stable polymorph in this dataset, meV per atom: 10
Uncorrected formation energy, eV/atom: -2.541

abc: 4.098 7.359 7.360
angles: 60.15 89.94 89.80
Sites, in units of the cell vectors:
Ba1 0.000 0.000 0.000
Ge1 0.296 0.333 0.334
Ge2 0.704 0.667 0.666
F1 0.212 0.668 0.666
F2 0.290 0.631 0.190
F3 0.292 0.178 0.633
F4 0.292 0.190 0.177
F5 0.708 0.810 0.823
F6 0.708 0.822 0.367
F7 0.710 0.369 0.810
F8 0.788 0.332 0.334

| no. | raw total energy (eV per atom) |
| --- | --- |
| 1 | -3.805 |
| 2 | -4.917 |